VCrBW2: optimized geometry, PBE-GGA.

abc: 4.555 3.797 4.555
angles: 90.00 90.00 90.00
Atoms (fractional coordinates):
1 Cr 0.500 0.500 0.500
2 B 0.000 0.500 0.000
3 W 0.000 0.000 0.500
4 W 0.500 0.000 0.000
5 V 0.000 0.000 0.000

Properties
Formation enthalpy at 0 K   1.86 eV per atom
Magnetization   0.02 μB per formula unit
Offset from the most stable computed form   1602 meV per atom
D(E_F)   8.74 states/eV/cell



CrBW: optimized geometry, PBE-GGA.

abc: 4.336 4.336 7.885
angles: 90.00 90.00 103.97
Atoms (fractional coordinates):
1 Cr 0.187 0.187 0.275
2 Cr 0.687 0.687 0.225
3 Cr 0.313 0.313 0.775
4 Cr 0.813 0.813 0.725
5 W 0.195 0.805 0.000
6 W 0.805 0.195 0.000
7 W 0.695 0.305 0.500
8 W 0.305 0.695 0.500
9 B 0.353 0.353 0.046
10 B 0.147 0.147 0.546
11 B 0.647 0.647 0.954
12 B 0.853 0.853 0.454

Properties
Formation enthalpy at 0 K   0.06 eV per atom
Magnetization   0.00 μB per formula unit
D(E_F)   9.58 states/eV/cell